Entry 1:
VASP calculation (PBE) on AlGaBi after structural relaxation.

Structure (CIF):
```
data_AlGaBi
_chemical_formula_sum 'Al2 Ga2 Bi2'
_cell_length_a 3.178
_cell_length_b 5.340
_cell_length_c 9.768
_cell_angle_alpha 101.65
_cell_angle_beta 97.62
_cell_angle_gamma 105.91
_symmetry_space_group_name_H-M 'P 1'
_symmetry_Int_Tables_number 1
loop_
_symmetry_equiv_pos_as_xyz
'x,y,z'
loop_
_atom_site_label
_atom_site_fract_x
_atom_site_fract_y
_atom_site_fract_z
_atom_site_occupancy
Al1 0.000 0.000 0.000 1
Al2 0.257 0.537 0.933 1
Ga1 0.549 0.925 0.223 1
Ga2 0.806 0.458 0.152 1
Bi1 0.886 0.413 0.444 1
Bi2 0.926 0.058 0.710 1
```

Values from the calculation:
The formation energy is 0.106 eV per atom. The calculated total energy comes out at -20.66 eV/cell. As for the polymorph energy (0 for the lowest one): 0.007 eV per atom. The symmetry is P1 (1).


Entry 2:
VASP calculation (PBE) on DySnRu after structural relaxation.

Structure (CIF):
```
data_DySnRu
_chemical_formula_sum 'Dy1 Sn1 Ru1'
_cell_length_a 4.636
_cell_length_b 4.636
_cell_length_c 4.636
_cell_angle_alpha 60.00
_cell_angle_beta 60.00
_cell_angle_gamma 60.00
_symmetry_space_group_name_H-M 'P 1'
_symmetry_Int_Tables_number 1
loop_
_symmetry_equiv_pos_as_xyz
'x,y,z'
loop_
_atom_site_label
_atom_site_fract_x
_atom_site_fract_y
_atom_site_fract_z
_atom_site_occupancy
Dy1 0.000 0.000 0.000 1
Sn1 0.500 0.500 0.500 1
Ru1 0.250 0.250 0.250 1
```

Values from the calculation:
The formation energy is -0.370 eV per atom. The calculated total energy comes out at -18.99 eV/cell. The symmetry is F-43m (216).


Q: Look up the calculated total energy of the first one.
A: -20.66 eV/cell


Q: Among the records above, which one has the highest calculated total energy?
A: DySnRu


Q: The highest calculated total energy belongs to which entry?
A: DySnRu


Copy entry 2 word for word.
VASP calculation (PBE) on DySnRu after structural relaxation.

Structure (CIF):
```
data_DySnRu
_chemical_formula_sum 'Dy1 Sn1 Ru1'
_cell_length_a 4.636
_cell_length_b 4.636
_cell_length_c 4.636
_cell_angle_alpha 60.00
_cell_angle_beta 60.00
_cell_angle_gamma 60.00
_symmetry_space_group_name_H-M 'P 1'
_symmetry_Int_Tables_number 1
loop_
_symmetry_equiv_pos_as_xyz
'x,y,z'
loop_
_atom_site_label
_atom_site_fract_x
_atom_site_fract_y
_atom_site_fract_z
_atom_site_occupancy
Dy1 0.000 0.000 0.000 1
Sn1 0.500 0.500 0.500 1
Ru1 0.250 0.250 0.250 1
```

Values from the calculation:
The formation energy is -0.370 eV per atom. The calculated total energy comes out at -18.99 eV/cell. The symmetry is F-43m (216).